w | KTl5Pb2 | PBE | optimized geometry

a b c (Å): 8.540 8.540 11.695
angles (deg): 127.01 127.01 76.48
Fractional positions:
K1 0.795 0.705 0.500
K2 0.205 0.295 0.500
Tl1 0.531 0.729 0.672
Tl2 0.771 0.969 0.328
Tl3 0.000 0.000 0.000
Tl4 0.500 0.500 0.000
Tl5 0.229 0.031 0.672
Tl6 0.667 0.167 0.750
Tl7 0.967 0.467 0.733
Tl8 0.333 0.833 0.250
Tl9 0.033 0.533 0.267
Tl10 0.469 0.271 0.328
Pb1 0.174 0.326 0.000
Pb2 0.669 0.169 0.098
Pb3 0.331 0.831 0.902
Pb4 0.826 0.674 0.000

Output
* magnetic moment: 0.000 μB per cell


x | KTl5Pb2 | PBE | optimized geometry

a b c (Å): 6.913 6.913 6.913
angles (deg): 109.17 109.17 110.08
Fractional positions:
K1 0.778 0.778 0.000
Tl1 0.278 0.278 0.500
Tl2 0.278 0.777 0.000
Tl3 0.778 0.278 0.000
Tl4 0.777 0.778 0.500
Tl5 0.278 0.278 0.000
Pb1 0.278 0.778 0.500
Pb2 0.778 0.278 0.500

Output
* magnetic moment: 0.000 μB per cell


Most stable one: w, least stable one: x.


w | KTlPb2 | PBE | optimized geometry

a b c (Å): 5.192 5.001 5.001
angles (deg): 90.00 90.00 90.00
Fractional positions:
K1 0.500 0.000 0.500
Pb1 0.000 0.000 0.000
Pb2 0.000 0.500 0.500
Tl1 0.500 0.500 0.000

Output
* magnetic moment: 0.000 μB per cell


x | KTlPb2 | PBE | optimized geometry

a b c (Å): 4.173 4.173 7.980
angles (deg): 90.00 90.00 90.02
Fractional positions:
Pb1 0.000 0.000 0.050
Pb2 0.500 0.500 0.243
Tl1 0.000 0.000 0.460
K1 0.500 0.500 0.748

Output
* magnetic moment: 0.000 μB per cell


y | KTlPb2 | PBE | optimized geometry

a b c (Å): 5.553 3.667 7.071
angles (deg): 79.01 90.00 90.00
Fractional positions:
Pb1 0.000 0.057 0.053
Pb2 0.000 0.443 0.447
Tl1 0.500 0.250 0.250
K1 0.500 0.750 0.750

Output
* magnetic moment: 0.000 μB per cell


z | KTlPb2 | PBE | optimized geometry

a b c (Å): 5.698 5.698 5.698
angles (deg): 60.00 60.00 60.00
Fractional positions:
Pb1 0.250 0.250 0.250
Pb2 0.750 0.750 0.750
Tl1 0.500 0.500 0.500
K1 0.000 0.000 0.000

Output
* magnetic moment: 0.000 μB per cell


Most stable one: x, least stable one: z.


w | KTlPb2 | PBE | optimized geometry

a b c (Å): 6.931 6.931 6.931
angles (deg): 148.28 127.20 62.92
Fractional positions:
K1 0.246 0.746 0.500
Pb1 0.977 0.977 0.000
Pb2 0.758 0.258 0.500
Tl1 0.518 0.518 0.000

Output
* magnetic moment: 0.000 μB per cell


x | KTlPb2 | PBE | optimized geometry

a b c (Å): 3.766 4.646 7.849
angles (deg): 90.00 90.00 90.00
Fractional positions:
Pb1 0.000 0.000 0.048
Pb2 0.000 0.000 0.452
Tl1 0.500 0.500 0.250
K1 0.500 0.500 0.750

Output
* magnetic moment: 0.000 μB per cell


y | KTlPb2 | PBE | optimized geometry

a b c (Å): 5.733 5.733 5.733
angles (deg): 120.36 120.36 89.38
Fractional positions:
Pb1 0.000 0.000 0.000
Pb2 0.250 0.750 0.500
Tl1 0.500 0.500 0.000
K1 0.750 0.250 0.500

Output
* magnetic moment: 0.000 μB per cell


z | KTlPb2 | PBE | optimized geometry

a b c (Å): 11.518 11.518 11.518
angles (deg): 18.72 18.72 18.72
Fractional positions:
K1 0.750 0.750 0.750
Pb1 0.993 0.993 0.993
Pb2 0.507 0.507 0.507
Tl1 0.250 0.250 0.250

Output
* magnetic moment: 0.000 μB per cell


Most stable one: y, least stable one: z.


w | K2Tl6Pb | PBE | optimized geometry

a b c (Å): 3.610 9.722 9.722
angles (deg): 60.00 89.99 89.99
Fractional positions:
K1 0.000 0.333 0.333
K2 0.000 0.667 0.667
Tl1 0.499 0.679 0.000
Tl2 0.501 0.000 0.321
Tl3 0.501 0.321 0.000
Tl4 0.500 0.679 0.321
Tl5 0.499 0.000 0.679
Tl6 0.500 0.321 0.679
Pb1 0.000 0.000 0.000

Output
* magnetic moment: 0.000 μB per cell


x | K2Tl6Pb | PBE | optimized geometry

a b c (Å): 7.153 7.091 7.091
angles (deg): 60.03 90.05 90.05
Fractional positions:
K1 0.862 0.667 0.667
K2 0.138 0.333 0.333
Tl1 0.336 0.352 0.824
Tl2 0.335 0.824 0.824
Tl3 0.336 0.824 0.352
Tl4 0.664 0.648 0.176
Tl5 0.665 0.176 0.176
Tl6 0.664 0.176 0.648
Pb1 0.000 0.000 0.000

Output
* magnetic moment: 0.000 μB per cell


Most stable one: x, least stable one: w.


w | K3Tl7Pb2 | PBE | optimized geometry

a b c (Å): 6.763 6.763 11.400
angles (deg): 72.75 72.75 60.00
Fractional positions:
K1 0.000 0.000 0.000
K2 0.858 0.858 0.426
K3 0.142 0.142 0.574
Tl1 0.500 0.500 0.500
Tl2 0.924 0.412 0.252
Tl3 0.412 0.924 0.252
Tl4 0.412 0.412 0.252
Tl5 0.076 0.588 0.748
Tl6 0.588 0.588 0.748
Tl7 0.588 0.076 0.748
Pb1 0.663 0.663 0.011
Pb2 0.337 0.337 0.989

Output
* magnetic moment: 0.000 μB per cell


x | K3Tl7Pb2 | PBE | optimized geometry

a b c (Å): 5.965 5.634 13.355
angles (deg): 102.18 90.00 90.00
Fractional positions:
K1 0.500 0.500 0.000
K2 0.500 0.668 0.336
K3 0.500 0.332 0.664
Tl1 0.000 0.422 0.844
Tl2 0.000 0.727 0.454
Tl3 0.000 0.000 0.000
Tl4 0.000 0.578 0.156
Tl5 0.500 0.079 0.158
Tl6 0.500 0.921 0.842
Tl7 0.000 0.273 0.546
Pb1 0.000 0.854 0.708
Pb2 0.000 0.146 0.292

Output
* magnetic moment: 0.000 μB per cell


Most stable one: w, least stable one: x.


w | K2Tl5Pb | PBE | optimized geometry

a b c (Å): 8.128 8.126 8.083
angles (deg): 129.60 129.62 83.24
Fractional positions:
K1 0.277 0.667 0.440
K2 0.667 0.277 0.441
Tl1 0.684 0.265 0.952
Tl2 0.221 0.221 0.824
Tl3 0.715 0.715 0.051
Tl4 0.265 0.683 0.952
Tl5 0.821 0.821 0.589
Pb1 0.128 0.128 0.306

Output
* magnetic moment: 0.000 μB per cell


x | K2Tl5Pb | PBE | optimized geometry

a b c (Å): 5.709 5.709 9.268
angles (deg): 107.94 107.94 90.00
Fractional positions:
K1 0.752 0.752 0.504
K2 0.248 0.248 0.496
Tl1 0.500 0.500 0.000
Tl2 0.894 0.394 0.787
Tl3 0.394 0.894 0.787
Tl4 0.106 0.606 0.213
Tl5 0.606 0.106 0.213
Pb1 0.000 0.000 0.000

Output
* magnetic moment: 0.000 μB per cell


Most stable one: x, least stable one: w.


w | KTlPb4 | PBE | optimized geometry

a b c (Å): 5.540 6.980 10.764
angles (deg): 71.08 89.82 89.45
Fractional positions:
K1 0.750 0.379 0.242
K2 0.250 0.621 0.758
Tl1 0.750 0.869 0.262
Tl2 0.250 0.131 0.738
Pb1 0.250 0.546 0.414
Pb2 0.244 0.724 0.086
Pb3 0.750 0.960 0.586
Pb4 0.744 0.810 0.914
Pb5 0.750 0.454 0.586
Pb6 0.250 0.040 0.414
Pb7 0.756 0.276 0.914
Pb8 0.256 0.190 0.086

Output
* magnetic moment: 0.000 μB per cell


x | KTlPb4 | PBE | optimized geometry

a b c (Å): 6.646 6.646 6.646
angles (deg): 60.00 60.00 60.00
Fractional positions:
K1 0.000 0.000 0.000
Pb1 0.126 0.625 0.625
Pb2 0.625 0.625 0.625
Pb3 0.625 0.126 0.625
Pb4 0.625 0.625 0.126
Tl1 0.250 0.250 0.250

Output
* magnetic moment: 0.000 μB per cell


Most stable one: x, least stable one: w.


w | KTl3Pb2 | PBE | optimized geometry

a b c (Å): 6.836 7.925 7.925
angles (deg): 94.43 90.00 90.00
Fractional positions:
K1 0.250 0.332 0.332
K2 0.750 0.668 0.668
Tl1 0.750 0.413 0.106
Tl2 0.750 0.106 0.413
Tl3 0.250 0.587 0.894
Tl4 0.750 0.996 0.996
Tl5 0.250 0.004 0.004
Tl6 0.250 0.894 0.587
Pb1 0.500 0.756 0.244
Pb2 0.000 0.756 0.244
Pb3 0.000 0.244 0.756
Pb4 0.500 0.244 0.756

Output
* magnetic moment: 0.000 μB per cell


x | KTl3Pb2 | PBE | optimized geometry

a b c (Å): 6.767 9.112 9.112
angles (deg): 128.98 90.00 90.00
Fractional positions:
K1 0.250 0.323 0.323
K2 0.750 0.677 0.677
Tl1 0.750 0.566 0.206
Tl2 0.750 0.206 0.566
Tl3 0.250 0.434 0.794
Tl4 0.750 0.172 0.172
Tl5 0.250 0.828 0.828
Tl6 0.250 0.794 0.434
Pb1 0.500 0.844 0.156
Pb2 0.000 0.844 0.156
Pb3 0.000 0.156 0.844
Pb4 0.500 0.156 0.844

Output
* magnetic moment: 0.000 μB per cell


Most stable one: w, least stable one: x.


w | KTl5Pb | PBE | optimized geometry

a b c (Å): 6.007 6.007 7.544
angles (deg): 90.01 90.01 113.68
Fractional positions:
K1 0.000 0.000 0.000
Tl1 0.500 0.000 0.266
Tl2 0.000 0.500 0.266
Tl3 0.000 0.000 0.500
Tl4 0.000 0.500 0.734
Tl5 0.500 0.000 0.734
Pb1 0.500 0.500 0.500

Output
* magnetic moment: 0.000 μB per cell


x | KTl5Pb | PBE | optimized geometry

a b c (Å): 4.732 4.732 11.085
angles (deg): 90.00 90.00 90.00
Fractional positions:
K1 0.000 0.000 0.500
Tl1 0.000 0.500 0.239
Tl2 0.000 0.500 0.761
Tl3 0.500 0.000 0.239
Tl4 0.500 0.000 0.761
Tl5 0.000 0.000 0.000
Pb1 0.500 0.500 0.000

Output
* magnetic moment: 0.000 μB per cell


Most stable one: x, least stable one: w.


w | KTl4Pb4 | PBE | optimized geometry

a b c (Å): 4.981 8.020 8.020
angles (deg): 84.47 71.91 71.91
Fractional positions:
K1 0.000 0.000 0.000
Tl1 0.326 0.348 0.000
Tl2 0.674 0.652 0.000
Tl3 0.674 0.000 0.652
Tl4 0.326 0.000 0.348
Pb1 0.000 0.658 0.342
Pb2 0.000 0.342 0.658
Pb3 0.658 0.342 0.342
Pb4 0.342 0.658 0.658

Output
* magnetic moment: 0.000 μB per cell


x | KTl4Pb4 | PBE | optimized geometry

a b c (Å): 7.274 7.274 12.003
angles (deg): 90.00 90.00 90.00
Fractional positions:
K1 0.000 0.000 0.000
K2 0.500 0.500 0.500
Tl1 0.500 0.766 0.780
Tl2 0.500 0.234 0.780
Tl3 0.766 0.500 0.220
Tl4 0.234 0.500 0.220
Tl5 0.266 0.000 0.280
Tl6 0.734 0.000 0.280
Tl7 0.000 0.266 0.720
Tl8 0.000 0.734 0.720
Pb1 0.221 0.500 0.933
Pb2 0.779 0.500 0.933
Pb3 0.500 0.779 0.067
Pb4 0.500 0.221 0.067
Pb5 0.000 0.721 0.433
Pb6 0.000 0.279 0.433
Pb7 0.279 0.000 0.567
Pb8 0.721 0.000 0.567

Output
* magnetic moment: 0.000 μB per cell


Most stable one: w, least stable one: x.